Below is crystalline TiNi2Pt at its relaxed geometry, with properties calculated at the PBE level.

Properties
**ΔE_f**: -1.90 eV per formula unit
**Space-group type**: Fm-3m, No. 225
**V**: 13.207 Å³ per atom

a b c (Å): 5.9563 5.9563 5.9563
angles (deg): 90.00 90.00 90.00
Fractional positions:
1 Ti 0.0000 0.0000 0.0000
2 Ti 0.0000 0.5000 0.5000
3 Ti 0.5000 0.0000 0.5000
4 Ti 0.5000 0.5000 0.0000
5 Ni 0.2500 0.2500 0.2500
6 Ni 0.2500 0.2500 0.7500
7 Ni 0.2500 0.7500 0.2500
8 Ni 0.2500 0.7500 0.7500
9 Ni 0.7500 0.2500 0.2500
10 Ni 0.7500 0.2500 0.7500
11 Ni 0.7500 0.7500 0.2500
12 Ni 0.7500 0.7500 0.7500
13 Pt 0.0000 0.0000 0.5000
14 Pt 0.0000 0.5000 0.0000
15 Pt 0.5000 0.0000 0.0000
16 Pt 0.5000 0.5000 0.5000